A plane-wave DFT calculation with PBE was carried out for an optimized crystal structure of ScHgI3.

Calculated values
ΔE to the lowest computed polymorph: 76 meV/atom
Total magnetization: 0.00 μB per formula unit
Uncorrected formation energy: -0.896 eV per atom
E: -31.53 eV per cell

Unit cell a=4.0243 b=8.4444 c=21.0588 alpha=90.00 beta=90.00 gamma=90.00
Space group Amm2 (No. 38)
Unique sites:
Sc: 0.0000 0.0000 0.0000
Hg: 0.5000 0.0000 0.2961
I: 0.0000 0.0000 0.1255
I: 0.5000 0.2313 0.9660